A plane-wave DFT calculation with PBE was carried out for KMn2CdI8 after structural relaxation.

a b c (Å): 7.4539 7.4539 10.3538
angles (deg): 90.00 90.00 120.00
Last column: nearest neighbours and their distance in Å.
Fractional coordinates of all 12 atoms:
I1 0.6721 0.9916 0.3236  1 Mn 2.66
I2 0.6805 0.6721 0.6764  1 Mn 2.66
I3 0.0084 0.6805 0.3236  1 Mn 2.66
Cd1 0.0000 0.0000 0.5000  6 I 3.03
Mn1 0.6667 0.3333 0.2557  4 I 2.60-2.66
I4 0.3195 0.3279 0.3236  1 Mn 2.66
I5 0.9916 0.3195 0.6764  1 Mn 2.66
K1 0.0000 0.0000 0.0000  12 I 4.13-4.30
Mn2 0.3333 0.6667 0.7443  4 I 2.60-2.66
I6 0.6667 0.3333 0.0042  1 Mn 2.60
I7 0.3333 0.6667 0.9958  1 Mn 2.60
I8 0.3279 0.0084 0.6764  1 Mn 2.66

total magnetic moment = 9.000 μB per formula unit
calculated volume = 41.5 Å³ per atom
formation energy from raw total energies = -6.625 eV/f.u.
symmetry = No. 147